# PmIr

An optimized crystal structure of PmIr (PBE, OQMD).

Cell: 4.485 4.485 4.485 Å, 60.00 60.00 60.00°
Sites, in units of the cell vectors:
Pm1 0.250 0.250 0.250
Ir1 0.000 0.000 0.000

Results
- space group = F-43m
- DFT total energy (eV/atom) = -6.587
- formation energy (eV/atom) = 0.21
- size of the total moment (μB per formula unit) = 0.00
- V (A^3/atom) = 31.89
- calculated density (g/cm³) = 8.8

***

# Lu4Hf2Co3N3

An optimized crystal structure of Lu4Hf2Co3N3 (PBE, OQMD).

Cell: 5.598 5.598 13.837 Å, 101.97 101.97 60.00°
Sites, in units of the cell vectors:
Lu1 0.801 0.964 0.901
Lu2 0.132 0.298 0.901
Lu3 0.702 0.868 0.599
Lu4 0.199 0.036 0.099
Lu5 0.036 0.199 0.599
Lu6 0.298 0.132 0.401
Lu7 0.868 0.702 0.099
Lu8 0.964 0.801 0.401
Co1 0.893 0.583 0.749
Co2 0.071 0.929 0.250
Co3 0.929 0.071 0.750
Co4 0.583 0.893 0.249
Co5 0.107 0.417 0.251
Co6 0.417 0.107 0.751
N1 0.650 0.201 0.500
N2 0.350 0.799 0.500
N3 0.201 0.650 0.000
N4 0.000 0.500 0.500
N5 0.799 0.350 0.000
N6 0.500 0.000 0.000
Hf1 0.464 0.627 0.893
Hf2 0.373 0.536 0.607
Hf3 0.627 0.464 0.393
Hf4 0.536 0.373 0.107

Results
- space group = C2/c
- DFT total energy (eV/atom) = -7.747
- size of the total moment (μB per formula unit) = 0.02
- V (A^3/atom) = 15.19
- calculated density (g/cm³) = 11.6

***

# Y2Hf4Al3C3

An optimized crystal structure of Y2Hf4Al3C3 (PBE, OQMD).

Cell: 5.800 5.800 14.980 Å, 101.51 101.51 60.04°
Sites, in units of the cell vectors:
Hf1 0.202 0.019 0.581
Hf2 0.146 0.307 0.419
Hf3 0.981 0.798 0.919
Hf4 0.307 0.146 0.919
Hf5 0.854 0.693 0.581
Hf6 0.693 0.854 0.081
Hf7 0.798 0.981 0.419
Hf8 0.019 0.202 0.081
Y1 0.461 0.626 0.388
Y2 0.626 0.461 0.888
Y3 0.539 0.374 0.612
Y4 0.374 0.539 0.112
Al1 0.929 0.071 0.250
Al2 0.900 0.586 0.250
Al3 0.414 0.100 0.250
Al4 0.071 0.929 0.750
Al5 0.100 0.414 0.750
Al6 0.586 0.900 0.750
C1 0.500 0.000 0.500
C2 0.000 0.500 0.000
C3 0.327 0.846 0.000
C4 0.673 0.154 0.000
C5 0.154 0.673 0.500
C6 0.846 0.327 0.500

Results
- space group = C2/c
- DFT total energy (eV/atom) = -8.295
- size of the total moment (μB per formula unit) = 0.00
- V (A^3/atom) = 17.70
- calculated density (g/cm³) = 7.9